NdHoTmCd after structural relaxation, computed with PBE.

Lattice parameters (Å, degrees): 7.7403 7.7403 7.7403 90.00 90.00 90.00
Space group F-43m (No. 216)
Inequivalent atoms, fractional coordinates:
Nd  0.0000  0.0000  0.0000 [4 per cell]
Ho  0.0000  0.0000  0.5000 [4 per cell]
Tm  0.2500  0.2500  0.7500 [4 per cell]
Cd  0.2500  0.2500  0.2500 [4 per cell]

Properties
Spin magnetization   0.0 μB/f.u.
Relative energy among the computed polymorphs   114 meV/atom
DOS(E_F)   5.091 states/eV/f.u.